(1)
MgNiBiB2, optimized geometry, DFT PBE-GGA; Fermi-level density of states = 0.85 states/eV/atom; ΔH_f (0 K) = 1907 meV/atom; calculated volume = 20.2 A^3/atom
1.0
4.248 0.000 0.000
0.000 5.597 0.000
0.000 0.000 4.248
Ni Mg B Bi
1 1 2 1
direct
0.500 0.500 0.500 Ni
0.000 0.000 0.000 Mg
0.000 0.000 0.500 B
0.500 0.000 0.000 B
0.000 0.500 0.000 Bi

(2)
Mg6BiBO8, optimized geometry, DFT PBE-GGA; uncorrected formation energy = -1.839 eV/atom; calculated volume = 11.1 A^3/atom
1.0
-3.844 1.626 -1.529
-2.218 -3.129 2.247
-0.515 5.470 7.111
Mg Bi B O
6 1 1 8
direct
0.000 0.000 0.500 Mg
0.500 0.500 0.500 Mg
0.000 0.500 0.266 Mg
0.000 0.500 0.734 Mg
0.500 0.000 0.266 Mg
0.500 0.000 0.734 Mg
0.500 0.500 0.000 Bi
0.000 0.000 0.000 B
0.000 0.000 0.272 O
0.000 0.000 0.728 O
0.500 0.500 0.269 O
0.500 0.500 0.731 O
0.000 0.500 0.000 O
0.000 0.500 0.500 O
0.500 0.000 0.000 O
0.500 0.000 0.500 O

(3)
Mg6BiBO8, optimized geometry, DFT PBE-GGA; Fermi-level density of states = 0.06 states/eV/atom; uncorrected formation energy = -1.796 eV/atom; calculated volume = 11.2 A^3/atom
1.0
-3.157 2.476 -1.941
0.375 -2.433 -3.715
-6.314 -5.650 3.063
Mg Bi B O
6 1 1 8
direct
0.500 0.500 0.000 Mg
0.500 0.500 0.500 Mg
0.000 0.500 0.223 Mg
0.000 0.500 0.777 Mg
0.500 0.000 0.223 Mg
0.500 0.000 0.777 Mg
0.000 0.000 0.500 Bi
0.000 0.000 0.000 B
0.000 0.000 0.240 O
0.000 0.000 0.760 O
0.500 0.500 0.249 O
0.500 0.500 0.751 O
0.000 0.500 0.000 O
0.000 0.500 0.500 O
0.500 0.000 0.000 O
0.500 0.000 0.500 O

(4)
Mg2BiB2Rh5, optimized geometry, DFT PBE-GGA; Fermi-level density of states = 0.44 states/eV/atom; ΔH_f (0 K) = -441 meV/atom; calculated volume = 14.4 A^3/atom
1.0
3.071 0.000 0.000
0.000 9.676 0.000
0.000 0.000 9.676
Mg Bi B Rh
4 2 4 10
direct
0.000 0.674 0.174 Mg
0.000 0.326 0.826 Mg
0.000 0.174 0.326 Mg
0.000 0.826 0.674 Mg
0.000 0.000 0.000 Bi
0.000 0.500 0.500 Bi
0.000 0.121 0.621 B
0.000 0.879 0.379 B
0.000 0.621 0.879 B
0.000 0.379 0.121 B
0.500 0.227 0.073 Rh
0.500 0.773 0.927 Rh
0.500 0.073 0.773 Rh
0.500 0.727 0.427 Rh
0.500 0.927 0.227 Rh
0.500 0.273 0.573 Rh
0.500 0.573 0.727 Rh
0.500 0.427 0.273 Rh
0.500 0.500 0.000 Rh
0.500 0.000 0.500 Rh

(5)
Mg2TlBiB, optimized geometry, DFT PBE-GGA; Fermi-level density of states = 0.58 states/eV/atom; ΔH_f (0 K) = 343 meV/atom; calculated volume = 22.5 A^3/atom
1.0
4.721 0.000 0.000
0.000 5.050 0.000
0.000 0.000 4.721
Mg Tl B Bi
2 1 1 1
direct
0.000 0.000 0.500 Mg
0.500 0.000 0.000 Mg
0.000 0.500 0.000 Tl
0.000 0.000 0.000 B
0.500 0.500 0.500 Bi

(6)
Mg2VBiB, optimized geometry, DFT PBE-GGA; Fermi-level density of states = 0.57 states/eV/atom; ΔH_f (0 K) = 1442 meV/atom; calculated volume = 28.0 A^3/atom
1.0
-1.996 -3.334 -3.485
2.279 -3.902 2.428
-4.229 -0.604 2.999
Mg B Bi V
2 1 1 1
direct
0.000 0.000 0.500 Mg
0.500 0.000 0.000 Mg
0.500 0.500 0.500 B
0.000 0.500 0.000 Bi
0.000 0.000 0.000 V